Entry 1:
First-principles (GGA-PBE) data for CaCo9Si4 after structural relaxation, as listed in the Alexandria database.

Lattice parameters (Å, degrees): 7.7104 7.7104 11.4715 90.00 90.00 90.00
With the nearest neighbours (Å) after each atom.
Space group I4/mcm (No. 140)
One atom of each set of equivalent atoms:
Ca1 0.0000 0.0000 0.2500 [4 per cell]  16 Co 3.13-3.29, 8 Si 3.22
Co1 0.0000 0.5000 0.0000 [4 per cell]  4 Si 2.31, 8 Co 2.39-2.50
Co2 0.0700 0.1979 0.0000 [16 per cell]  6 Co 2.29-2.53, 4 Si 2.47-2.53
Co3 0.1300 0.3700 0.1794 [16 per cell]  4 Si 2.29-2.41, 3 Co 2.49-2.50
Si1 0.1681 0.3319 0.3771 [16 per cell]  9 Co 2.29-2.53

Volume = 170.5 Å³/f.u.
Formation energy without anion corrections = -40 kJ per mole of atoms
E_tot = -373.84 eV/cell

=====

Entry 2:
First-principles (GGA-PBE) data for Pm2NiSb4Ir3 after structural relaxation, as listed in the Alexandria database.

Lattice parameters (Å, degrees): 4.5386 4.5386 10.4787 90.00 90.00 90.00
With the nearest neighbours (Å) after each atom.
Space group P-4m2 (No. 115)
One atom of each set of equivalent atoms:
Pm1 0.0000 0.5000 0.2375 [2 per cell]  2 Ni 3.37, 6 Ir 3.37-3.51, 8 Sb 3.41-3.57
Ni1 0.5000 0.5000 0.0000 [1 per cell]  4 Sb 2.63
Sb1 0.0000 0.0000 0.5000 [1 per cell]  4 Ir 2.63
Sb2 0.0000 0.5000 0.8730 [2 per cell]  3 Ir 2.59-2.63, 2 Ni 2.63
Sb3 0.5000 0.5000 0.5000 [1 per cell]  4 Ir 2.63
Ir1 0.0000 0.0000 0.0000 [1 per cell]  4 Sb 2.63
Ir2 0.0000 0.5000 0.6263 [2 per cell]  5 Sb 2.59-2.63

Volume = 215.8 Å³/f.u.
Formation energy without anion corrections = -57 kJ per mole of atoms
E_tot = -64.22 eV/cell